No. 1
This record from the Alexandria database describes an optimized crystal structure of CuP2Pb. The functional is PBE.

Cell lengths 5.7458, 5.7458, 5.7458 Å; angles 140.81, 140.81, 56.63 degrees
Fractional positions:
Cu (0.0000, 0.0000, 0.0000)
P (0.2500, 0.7500, 0.5000)
P (0.7500, 0.2500, 0.5000)
Pb (0.5000, 0.5000, 0.0000)

space group: I4/mmm (139)
total energy: -4.05 eV per atom
energy of formation from the pure elements: 0.61 eV/atom

***

No. 2
This record from the Alexandria database describes an optimized crystal structure of BaCaRu. The functional is PBE.

Cell lengths 5.0839, 5.0839, 5.0839 Å; angles 60.00, 60.00, 60.00 degrees
Fractional positions:
Ba (0.0000, 0.0000, 0.0000)
Ca (0.5000, 0.5000, 0.5000)
Ru (0.7500, 0.7500, 0.7500)

space group: F-43m (216)
polymorph energy (0 for the lowest one): 56 meV/atom
total energy: -3.97 eV per atom
energy of formation from the pure elements: 0.43 eV/atom

***

No. 3
This record from the Alexandria database describes an optimized crystal structure of AcPrCoIr. The functional is PBE.

Cell lengths 5.1212, 5.1212, 5.1212 Å; angles 60.00, 60.00, 60.00 degrees
Fractional positions:
Ac (0.0000, 0.0000, 0.0000)
Pr (0.5000, 0.5000, 0.5000)
Co (0.2500, 0.2500, 0.2500)
Ir (0.7500, 0.7500, 0.7500)

space group: F-43m (216)
total energy: -6.38 eV per atom
energy of formation from the pure elements: -0.16 eV/atom

***

No. 4
This record from the Alexandria database describes an optimized crystal structure of CuNi. The functional is PBE.

Cell lengths 4.8811, 4.8811, 5.9810 Å; angles 104.94, 104.94, 29.68 degrees
Fractional positions:
Cu (0.0000, 0.0000, 0.0000)
Cu (0.0537, 0.0537, 0.6133)
Cu (0.6655, 0.6655, 0.3338)
Ni (0.3302, 0.3302, 0.6676)
Ni (0.3853, 0.3853, 0.2785)
Ni (0.7268, 0.7268, 0.9463)

space group: Cm (8)
total energy: -4.90 eV per atom
energy of formation from the pure elements: 0.04 eV/atom

***

No. 5
This record from the Alexandria database describes an optimized crystal structure of PmGdSn2. The functional is PBE.

Cell lengths 3.4922, 3.4922, 9.0310 Å; angles 90.00, 90.00, 90.00 degrees
Fractional positions:
Pm (0.0000, 0.0000, 0.0000)
Gd (0.0000, 0.0000, 0.5000)
Sn (0.5000, 0.5000, 0.2526)
Sn (0.5000, 0.5000, 0.7474)

space group: P4/mmm (123)
polymorph energy (0 for the lowest one): 0 meV/atom
total energy: -7.40 eV per atom
energy of formation from the pure elements: -0.69 eV/atom

***

No. 6
This record from the Alexandria database describes an optimized crystal structure of MgSiP2S. The functional is PBE.

Cell lengths 4.5257, 4.5257, 4.6427 Å; angles 90.00, 90.00, 90.00 degrees
Fractional positions:
Mg (0.0000, 0.0000, 0.0000)
Si (0.5000, 0.5000, 0.5000)
P (0.0000, 0.5000, 0.5000)
P (0.5000, 0.0000, 0.5000)
S (0.5000, 0.5000, 0.0000)

space group: P4/mmm (123)
polymorph energy (0 for the lowest one): 0 meV/atom
formation energy without anion corrections: 164 kJ/mol of formula units
total energy: -4.05 eV per atom

***

No. 7
This record from the Alexandria database describes an optimized crystal structure of LaLuTlSn. The functional is PBE.

Cell lengths 5.4481, 5.4481, 5.4481 Å; angles 60.00, 60.00, 60.00 degrees
Fractional positions:
La (0.0000, 0.0000, 0.0000)
Lu (0.5000, 0.5000, 0.5000)
Tl (0.7500, 0.7500, 0.7500)
Sn (0.2500, 0.2500, 0.2500)

space group: F-43m (216)
total energy: -4.42 eV per atom
energy of formation from the pure elements: -0.47 eV/atom

***

No. 8
This record from the Alexandria database describes an optimized crystal structure of Ho2Hf. The functional is PBE.

Cell lengths 7.7237, 7.7237, 7.7237 Å; angles 154.91, 154.91, 35.78 degrees
Fractional positions:
Ho (0.1552, 0.1552, 0.0000)
Ho (0.8448, 0.8448, 0.0000)
Hf (0.5000, 0.5000, 0.0000)

space group: I4/mmm (139)
total energy: -6.26 eV per atom
energy of formation from the pure elements: 0.11 eV/atom